(1)
Computed, not measured: a relaxed ErMg2Ru crystal at the PBE level of DFT.

Its total magnetization is 0.0 μB/cell. For the formation enthalpy at 0 K, the calculation gives 0.06 eV per atom.

It has space group Fm-3m (No. 225), with a = 6.772 Å, b = 6.772 Å, c = 6.772 Å, α = 90.00°, β = 90.00° and γ = 90.00°. Symmetry generates all atoms from Er at (0.000, 0.000, 0.000), Mg at (0.250, 0.250, 0.250) and Ru at (0.000, 0.000, 0.500).

***

(2)
Computed, not measured: a relaxed Er5MgRu3 crystal at the PBE level of DFT.

Its total magnetization is 0.0 μB/cell. For the formation enthalpy at 0 K, the calculation gives -0.16 eV per atom.

It has space group C2/m (No. 12), with a = 10.012 Å, b = 9.779 Å, c = 9.887 Å, α = 90.00°, β = 112.18° and γ = 90.00°. Symmetry generates all atoms from Er at (0.000, 0.235, 0.000), Er at (0.044, 0.230, 0.681), Er at (0.236, 0.500, 0.932), Er at (0.247, 0.500, 0.578), Mg at (0.221, 0.500, 0.252), Ru at (0.000, 0.000, 0.500), Ru at (0.000, 0.500, 0.000), Ru at (0.001, 0.000, 0.169) and Ru at (0.005, 0.500, 0.664).

***

(3)
Computed, not measured: a relaxed Er6MgRu2 crystal at the PBE level of DFT.

Its total magnetization is 0.0 μB/cell. For the formation enthalpy at 0 K, the calculation gives -0.29 eV per atom.

It has space group Immm (No. 71), with a = 9.287 Å, b = 9.462 Å, c = 10.454 Å, α = 90.00°, β = 90.00° and γ = 90.00°. Symmetry generates all atoms from Er at (0.000, 0.205, 0.241), Er at (0.186, 0.500, 0.172), Er at (0.214, 0.317, 0.500), Mg at (0.000, 0.000, 0.000), Mg at (0.000, 0.000, 0.500), Ru at (0.000, 0.317, 0.000) and Ru at (0.000, 0.500, 0.372).

***

> The highest formation enthalpy at 0 K belongs to which entry?

ErMg2Ru

***

> formation enthalpy at 0 K of number 2 (Er5MgRu3)?

-0.16 eV per atom